No. 1
A relaxed Zr4Pb2CN crystal. Source: OQMD via LeMat-Bulk, functional GGA-PBE.

Cell lengths 3.3825, 3.3825, 14.9242 Å; angles 90.00, 90.00, 120.00 degrees
With the nearest neighbours (Å) after each atom.
Space group P-3m1 (No. 164)
One atom of each set of equivalent atoms:
Zr: 0.3333 0.6667 0.0829 [2 per cell]  3 C 2.31
Zr: 0.3333 0.6667 0.4180 [2 per cell]  3 N 2.30
Pb: 0.3333 0.6667 0.7488 [2 per cell]  6 Zr 3.16-3.18, 6 Pb 3.38
C: 0.0000 0.0000 0.0000 [1 per cell]  6 Zr 2.31
N: 0.0000 0.0000 0.5000 [1 per cell]  6 Zr 2.30

***

No. 2
A relaxed Zr3PbCN crystal. Source: OQMD via LeMat-Bulk, functional GGA-PBE.

Cell lengths 3.3433, 3.3433, 20.3686 Å; angles 90.00, 90.00, 120.00 degrees
With the nearest neighbours (Å) after each atom.
Space group P-3m1 (No. 164)
One atom of each set of equivalent atoms:
Zr: 0.0000 0.0000 0.0000 [1 per cell]  6 N 2.33
Zr: 0.0000 0.0000 0.5000 [1 per cell]  6 C 2.39
Zr: 0.3333 0.6667 0.1269 [2 per cell]  3 N 2.31
Zr: 0.3333 0.6667 0.3733 [2 per cell]  3 C 2.26
Pb: 0.0000 0.0000 0.2493 [2 per cell]  6 Zr 3.15-3.18, 6 Pb 3.34
C: 0.3333 0.6667 0.5692 [2 per cell]  6 Zr 2.26-2.39
N: 0.3333 0.6667 0.9357 [2 per cell]  6 Zr 2.31-2.33

***

Uncorrected energy in eV/atom, matching the order above: -8.204; -8.773